YCd2Te2 | Alexandria | GGA-PBE | optimized geometry; calculated total energy = -16.1 eV per formula unit; space-group type = I4/mmm; formation energy from raw total energies = -0.3048 eV/atom
1.0
-5.508 -0.428 -1.538
1.572 -0.493 -5.493
-1.751 -4.915 -3.054
Te Cd Y
2 2 1
Direct
0.250 0.750 0.500
0.750 0.250 0.500
0.352 0.352 0.296
0.648 0.648 0.704
0.000 0.000 0.000